[1]
The following is a GGA-PBE calculation of crystalline Si5C3 at its relaxed geometry, from Alexandria.

Values from the calculation:
Uncorrected energy (eV/atom): -5.9525
Mass density (g/cm3): 3.23
Uncorrected formation energy (eV per atom): 0.896

Structure (POSCAR):
```
Si5C3
1.0
2.792 0.000 0.000
0.000 2.792 0.000
0.000 0.000 11.635
Si C
5 3
Direct
0.000 0.000 0.000
0.000 0.000 0.205
0.000 0.000 0.795
0.500 0.500 0.404
0.500 0.500 0.596
0.000 0.000 0.500
0.500 0.500 0.244
0.500 0.500 0.756
```

[2]
The following is a GGA-PBE calculation of crystalline SiC at its relaxed geometry, from Alexandria.

Values from the calculation:
Uncorrected energy (eV/atom): -6.6885
Mass density (g/cm3): 3.11
Uncorrected formation energy (eV per atom): 0.635

Structure (POSCAR):
```
SiC
1.0
4.409 -1.439 0.000
4.409 1.439 0.000
-2.451 0.000 5.060
Si C
3 3
Direct
0.000 0.000 0.000
0.124 0.124 0.596
0.293 0.293 0.067
0.674 0.674 0.166
0.733 0.733 0.469
0.914 0.914 0.631
```

[3]
The following is a GGA-PBE calculation of crystalline SiC2 at its relaxed geometry, from Alexandria.

Values from the calculation:
Uncorrected energy (eV/atom): -7.5311
Mass density (g/cm3): 2.48
Uncorrected formation energy (eV per atom): 0.426

Structure (POSCAR):
```
SiC2
1.0
3.183 0.000 0.000
0.000 3.183 0.000
0.000 0.000 6.886
Si C
2 4
Direct
0.000 0.000 0.250
0.000 0.000 0.750
0.000 0.500 0.099
0.000 0.500 0.901
0.500 0.000 0.401
0.500 0.000 0.599
```

[4]
The following is a GGA-PBE calculation of crystalline Si2C at its relaxed geometry, from Alexandria.

Values from the calculation:
Uncorrected energy (eV/atom): -5.4378
Mass density (g/cm3): 3.48
Uncorrected formation energy (eV per atom): 1.252

Structure (POSCAR):
```
Si2C
1.0
-1.358 1.358 4.406
1.358 -1.358 4.406
1.358 1.358 -4.406
Si C
2 1
Direct
0.132 0.132 0.000
0.868 0.868 0.000
0.500 0.500 0.000
```

Which value of uncorrected formation energy does entry 2 give?
0.635 eV per atom